Model A:
A geometry-optimized NdRe3Si3 structure. Source: Alexandria via LeMat-Bulk, functional PBE.

Lattice parameters (Å, degrees): 6.627 6.627 6.627 90.00 90.00 90.00
Fractional coordinates of all 14 atoms:
Nd  0.000  0.000  0.000
Nd  0.500  0.500  0.500
Re  0.000  0.250  0.500
Re  0.000  0.750  0.500
Re  0.250  0.500  0.000
Re  0.500  0.000  0.250
Re  0.500  0.000  0.750
Re  0.750  0.500  0.000
Si  0.000  0.500  0.250
Si  0.000  0.500  0.750
Si  0.250  0.000  0.500
Si  0.500  0.250  0.000
Si  0.500  0.750  0.000
Si  0.750  0.000  0.500

## Properties
- crystal system = cubic
- SG = Pm-3n, No. 223
- spin magnetization (μB per cell) = 0.15
- D(E_F) (states/eV per atom) = 1.045

Model B:
A geometry-optimized NdRe3Si3 structure. Source: Alexandria via LeMat-Bulk, functional PBE.

Lattice parameters (Å, degrees): 7.237 4.424 8.781 90.00 112.60 90.00
Fractional coordinates of all 14 atoms:
Nd  0.226  0.250  0.434
Nd  0.774  0.750  0.566
Re  0.244  0.750  0.968
Re  0.343  0.250  0.835
Re  0.443  0.250  0.169
Re  0.557  0.750  0.831
Re  0.657  0.750  0.165
Re  0.756  0.250  0.032
Si  0.082  0.250  0.992
Si  0.200  0.750  0.667
Si  0.367  0.750  0.271
Si  0.633  0.250  0.729
Si  0.800  0.250  0.333
Si  0.918  0.750  0.008

## Properties
- crystal system = monoclinic
- SG = P2_1/m, No. 11
- spin magnetization (μB per cell) = 0.00
- D(E_F) (states/eV per atom) = 0.342

Pick model B: it beats the second-best structure by 609 meV per atom.

Model A:
A geometry-optimized NdTh2Re structure. Source: Alexandria via LeMat-Bulk, functional PBE.

Lattice parameters (Å, degrees): 4.024 4.024 27.450 90.00 90.00 120.00
Fractional coordinates of all 12 atoms:
Nd  0.000  0.000  0.000
Nd  0.333  0.667  0.667
Nd  0.667  0.333  0.333
Th  0.000  0.000  0.225
Th  0.000  0.000  0.775
Th  0.333  0.667  0.442
Th  0.333  0.667  0.892
Th  0.667  0.333  0.108
Th  0.667  0.333  0.558
Re  0.000  0.000  0.500
Re  0.333  0.667  0.167
Re  0.667  0.333  0.833

## Properties
- crystal system = trigonal
- SG = R-3m, No. 166
- spin magnetization (μB per cell) = 0.00
- D(E_F) (states/eV per atom) = 1.247

Model B:
A geometry-optimized NdTh2Re structure. Source: Alexandria via LeMat-Bulk, functional PBE.

Lattice parameters (Å, degrees): 3.560 3.560 8.928 90.00 90.00 90.00
Fractional coordinates of all 4 atoms:
Nd  0.000  0.000  0.000
Th  0.500  0.500  0.301
Th  0.500  0.500  0.699
Re  0.000  0.000  0.500

## Properties
- crystal system = tetragonal
- SG = P4/mmm, No. 123
- spin magnetization (μB per cell) = 0.00
- D(E_F) (states/eV per atom) = 1.837

Pick model B: it beats the second-best structure by 99 meV per atom.

Model A:
A geometry-optimized NdRh6 structure. Source: Alexandria via LeMat-Bulk, functional PBE.

Lattice parameters (Å, degrees): 6.749 6.749 6.749 90.00 90.00 90.00
Fractional coordinates of all 14 atoms:
Nd  0.000  0.000  0.000
Nd  0.500  0.500  0.500
Rh  0.000  0.250  0.500
Rh  0.000  0.500  0.250
Rh  0.000  0.500  0.750
Rh  0.000  0.750  0.500
Rh  0.250  0.000  0.500
Rh  0.250  0.500  0.000
Rh  0.500  0.000  0.250
Rh  0.500  0.000  0.750
Rh  0.500  0.250  0.000
Rh  0.500  0.750  0.000
Rh  0.750  0.000  0.500
Rh  0.750  0.500  0.000

## Properties
- crystal system = cubic
- SG = Im-3m, No. 229
- spin magnetization (μB per cell) = 0.00
- D(E_F) (states/eV per atom) = 1.231

Model B:
A geometry-optimized NdRh6 structure. Source: Alexandria via LeMat-Bulk, functional PBE.

Lattice parameters (Å, degrees): 8.529 5.248 10.507 90.00 90.00 90.00
Fractional coordinates of all 28 atoms:
Nd  0.242  0.250  0.060
Nd  0.258  0.750  0.560
Nd  0.742  0.250  0.440
Nd  0.758  0.750  0.940
Rh  0.061  0.006  0.306
Rh  0.061  0.494  0.306
Rh  0.061  0.750  0.084
Rh  0.110  0.250  0.519
Rh  0.152  0.750  0.845
Rh  0.184  0.250  0.766
Rh  0.316  0.750  0.266
Rh  0.348  0.250  0.345
Rh  0.390  0.750  0.019
Rh  0.439  0.250  0.584
Rh  0.439  0.506  0.806
Rh  0.439  0.994  0.806
Rh  0.561  0.006  0.194
Rh  0.561  0.494  0.194
Rh  0.561  0.750  0.416
Rh  0.610  0.250  0.981
Rh  0.652  0.750  0.655
Rh  0.684  0.250  0.734
Rh  0.816  0.750  0.234
Rh  0.848  0.250  0.155
Rh  0.890  0.750  0.481
Rh  0.939  0.250  0.916
Rh  0.939  0.506  0.694
Rh  0.939  0.994  0.694

## Properties
- crystal system = orthorhombic
- SG = Pnma, No. 62
- spin magnetization (μB per cell) = 0.00
- D(E_F) (states/eV per atom) = 1.563

Pick model B: it beats the second-best structure by 592 meV per atom.

Model A:
A geometry-optimized Nd6RuRh2 structure. Source: Alexandria via LeMat-Bulk, functional PBE.

Lattice parameters (Å, degrees): 7.280 7.280 9.997 112.56 112.56 33.72
Fractional coordinates of all 9 atoms:
Nd  0.064  0.064  0.303
Nd  0.345  0.345  0.360
Nd  0.354  0.354  0.946
Nd  0.646  0.646  0.054
Nd  0.655  0.655  0.640
Nd  0.936  0.936  0.697
Ru  0.000  0.000  0.000
Rh  0.279  0.279  0.615
Rh  0.721  0.721  0.385

## Properties
- crystal system = monoclinic
- SG = C2/m, No. 12
- spin magnetization (μB per cell) = 0.00
- D(E_F) (states/eV per atom) = 0.892

Model B:
A geometry-optimized Nd6RuRh2 structure. Source: Alexandria via LeMat-Bulk, functional PBE.

Lattice parameters (Å, degrees): 6.773 7.478 11.995 90.00 121.88 90.00
Fractional coordinates of all 18 atoms:
Nd  0.090  0.053  0.252
Nd  0.090  0.447  0.752
Nd  0.248  0.679  0.074
Nd  0.248  0.821  0.574
Nd  0.405  0.178  0.069
Nd  0.405  0.322  0.569
Nd  0.595  0.678  0.431
Nd  0.595  0.822  0.931
Nd  0.752  0.179  0.426
Nd  0.752  0.321  0.926
Nd  0.910  0.553  0.248
Nd  0.910  0.947  0.748
Ru  0.000  0.000  0.000
Ru  0.000  0.500  0.500
Rh  0.312  0.113  0.761
Rh  0.312  0.387  0.261
Rh  0.688  0.613  0.739
Rh  0.688  0.887  0.239

## Properties
- crystal system = monoclinic
- SG = P2_1/c, No. 14
- spin magnetization (μB per cell) = 0.00
- D(E_F) (states/eV per atom) = 0.842

Pick model B: it beats the second-best structure by 29 meV per atom.

Model A:
A geometry-optimized Nd8RuRh2 structure. Source: Alexandria via LeMat-Bulk, functional PBE.

Lattice parameters (Å, degrees): 7.489 7.489 7.414 90.09 90.09 57.12
Fractional coordinates of all 11 atoms:
Nd  0.204  0.709  0.736
Nd  0.206  0.206  0.604
Nd  0.291  0.796  0.264
Nd  0.293  0.293  0.107
Nd  0.707  0.707  0.893
Nd  0.709  0.204  0.736
Nd  0.794  0.794  0.396
Nd  0.796  0.291  0.264
Ru  0.500  0.500  0.000
Rh  0.390  0.390  0.437
Rh  0.610  0.610  0.563

## Properties
- crystal system = monoclinic
- SG = C2/m, No. 12
- spin magnetization (μB per cell) = 0.00
- D(E_F) (states/eV per atom) = 1.237

Model B:
A geometry-optimized Nd8RuRh2 structure. Source: Alexandria via LeMat-Bulk, functional PBE.

Lattice parameters (Å, degrees): 9.270 9.270 6.917 98.31 98.31 32.07
Fractional coordinates of all 11 atoms:
Nd  0.038  0.038  0.282
Nd  0.200  0.200  0.840
Nd  0.335  0.335  0.541
Nd  0.414  0.414  0.075
Nd  0.586  0.586  0.925
Nd  0.665  0.665  0.459
Nd  0.800  0.800  0.160
Nd  0.962  0.962  0.718
Ru  0.500  0.500  0.500
Rh  0.212  0.212  0.242
Rh  0.788  0.788  0.758

## Properties
- crystal system = monoclinic
- SG = C2/m, No. 12
- spin magnetization (μB per cell) = 0.00
- D(E_F) (states/eV per atom) = 0.908

Pick model B: it beats the second-best structure by 59 meV per atom.

Model A:
A geometry-optimized Nd2ScRh structure. Source: Alexandria via LeMat-Bulk, functional PBE.

Lattice parameters (Å, degrees): 3.583 3.583 31.266 90.00 90.00 120.00
Fractional coordinates of all 12 atoms:
Nd  0.000  0.000  0.105
Nd  0.000  0.000  0.895
Nd  0.333  0.667  0.562
Nd  0.333  0.667  0.771
Nd  0.667  0.333  0.229
Nd  0.667  0.333  0.438
Sc  0.000  0.000  0.000
Sc  0.333  0.667  0.667
Sc  0.667  0.333  0.333
Rh  0.000  0.000  0.500
Rh  0.333  0.667  0.167
Rh  0.667  0.333  0.833

## Properties
- crystal system = trigonal
- SG = R-3m, No. 166
- spin magnetization (μB per cell) = 0.29
- D(E_F) (states/eV per atom) = 1.304

Model B:
A geometry-optimized Nd2ScRh structure. Source: Alexandria via LeMat-Bulk, functional PBE.

Lattice parameters (Å, degrees): 3.676 3.676 7.700 90.00 90.00 90.00
Fractional coordinates of all 4 atoms:
Nd  0.000  0.000  0.213
Nd  0.000  0.000  0.787
Sc  0.500  0.500  0.500
Rh  0.500  0.500  0.000

## Properties
- crystal system = tetragonal
- SG = P4/mmm, No. 123
- spin magnetization (μB per cell) = 0.00
- D(E_F) (states/eV per atom) = 1.644

Pick model B: it beats the second-best structure by 255 meV per atom.

Model A:
A geometry-optimized Nd3Si4Rh2 structure. Source: Alexandria via LeMat-Bulk, functional PBE.

Lattice parameters (Å, degrees): 6.043 6.043 8.245 108.38 108.38 40.14
Fractional coordinates of all 9 atoms:
Nd  0.000  0.000  0.000
Nd  0.391  0.391  0.309
Nd  0.609  0.609  0.691
Si  0.109  0.109  0.398
Si  0.278  0.278  0.926
Si  0.722  0.722  0.074
Si  0.891  0.891  0.602
Rh  0.304  0.304  0.641
Rh  0.696  0.696  0.359

## Properties
- crystal system = monoclinic
- SG = C2/m, No. 12
- spin magnetization (μB per cell) = 0.00
- D(E_F) (states/eV per atom) = 0.508

Model B:
A geometry-optimized Nd3Si4Rh2 structure. Source: Alexandria via LeMat-Bulk, functional PBE.

Lattice parameters (Å, degrees): 6.017 6.017 8.406 99.69 99.69 39.15
Fractional coordinates of all 9 atoms:
Nd  0.000  0.000  0.000
Nd  0.333  0.333  0.336
Nd  0.667  0.667  0.664
Si  0.050  0.050  0.386
Si  0.276  0.276  0.935
Si  0.724  0.724  0.065
Si  0.950  0.950  0.614
Rh  0.393  0.393  0.724
Rh  0.607  0.607  0.276

## Properties
- crystal system = monoclinic
- SG = C2/m, No. 12
- spin magnetization (μB per cell) = 0.00
- D(E_F) (states/eV per atom) = 0.649

Pick model A: it beats the second-best structure by 11 meV per atom.

Model A:
A geometry-optimized NdSi2Rh3 structure. Source: Alexandria via LeMat-Bulk, functional PBE.

Lattice parameters (Å, degrees): 8.272 8.272 9.804 107.40 107.40 28.01
Fractional coordinates of all 18 atoms:
Nd  0.000  0.000  0.000
Nd  0.160  0.160  0.700
Nd  0.840  0.840  0.300
Si  0.196  0.196  0.127
Si  0.362  0.362  0.554
Si  0.467  0.467  0.227
Si  0.533  0.533  0.773
Si  0.638  0.638  0.446
Si  0.804  0.804  0.873
Rh  0.042  0.042  0.332
Rh  0.218  0.218  0.393
Rh  0.324  0.324  0.042
Rh  0.377  0.377  0.800
Rh  0.500  0.500  0.500
Rh  0.623  0.623  0.200
Rh  0.676  0.676  0.958
Rh  0.782  0.782  0.607
Rh  0.958  0.958  0.668

## Properties
- crystal system = monoclinic
- SG = C2/m, No. 12
- spin magnetization (μB per cell) = 0.00
- D(E_F) (states/eV per atom) = 0.486

Model B:
A geometry-optimized NdSi2Rh3 structure. Source: Alexandria via LeMat-Bulk, functional PBE.

Lattice parameters (Å, degrees): 5.602 5.602 3.669 90.00 90.00 120.00
Fractional coordinates of all 6 atoms:
Nd  0.000  0.000  0.000
Si  0.333  0.667  0.000
Si  0.667  0.333  0.000
Rh  0.000  0.500  0.500
Rh  0.500  0.000  0.500
Rh  0.500  0.500  0.500

## Properties
- crystal system = hexagonal
- SG = P6/mmm, No. 191
- spin magnetization (μB per cell) = 0.00
- D(E_F) (states/eV per atom) = 0.145

Model C:
A geometry-optimized NdSi2Rh3 structure. Source: Alexandria via LeMat-Bulk, functional PBE.

Lattice parameters (Å, degrees): 6.684 6.684 6.684 114.79 86.20 130.31
Fractional coordinates of all 12 atoms:
Nd  0.463  0.213  0.250
Nd  0.537  0.787  0.750
Si  0.120  0.698  0.422
Si  0.223  0.302  0.922
Si  0.777  0.698  0.078
Si  0.880  0.302  0.578
Rh  0.000  0.000  0.500
Rh  0.000  0.217  0.217
Rh  0.000  0.500  0.000
Rh  0.000  0.783  0.783
Rh  0.500  0.217  0.717
Rh  0.500  0.783  0.283

## Properties
- crystal system = orthorhombic
- SG = Imma, No. 74
- spin magnetization (μB per cell) = 0.00
- D(E_F) (states/eV per atom) = 0.297

Pick model C: it beats the second-best structure by 34 meV per atom.

Model A:
A geometry-optimized NdSi2Rh4 structure. Source: Alexandria via LeMat-Bulk, functional PBE.

Lattice parameters (Å, degrees): 7.710 7.710 3.792 90.00 90.00 90.00
Fractional coordinates of all 14 atoms:
Nd  0.000  0.000  0.000
Nd  0.500  0.500  0.500
Si  0.228  0.228  0.500
Si  0.272  0.728  0.000
Si  0.728  0.272  0.000
Si  0.772  0.772  0.500
Rh  0.076  0.668  0.500
Rh  0.168  0.424  0.000
Rh  0.332  0.924  0.500
Rh  0.424  0.168  0.000
Rh  0.576  0.832  0.000
Rh  0.668  0.076  0.500
Rh  0.832  0.576  0.000
Rh  0.924  0.332  0.500

## Properties
- crystal system = tetragonal
- SG = P4_2/mnm, No. 136
- spin magnetization (μB per cell) = 0.00
- D(E_F) (states/eV per atom) = 0.691

Model B:
A geometry-optimized NdSi2Rh4 structure. Source: Alexandria via LeMat-Bulk, functional PBE.

Lattice parameters (Å, degrees): 16.849 4.065 6.514 90.00 90.00 90.00
Fractional coordinates of all 28 atoms:
Nd  0.139  0.250  0.003
Nd  0.361  0.750  0.503
Nd  0.639  0.250  0.497
Nd  0.861  0.750  0.997
Si  0.038  0.750  0.267
Si  0.214  0.250  0.529
Si  0.286  0.750  0.029
Si  0.462  0.250  0.767
Si  0.538  0.750  0.233
Si  0.714  0.250  0.971
Si  0.786  0.750  0.471
Si  0.962  0.250  0.733
Rh  0.029  0.750  0.856
Rh  0.072  0.250  0.493
Rh  0.183  0.750  0.318
Rh  0.200  0.750  0.732
Rh  0.300  0.250  0.232
Rh  0.317  0.250  0.818
Rh  0.428  0.750  0.993
Rh  0.471  0.250  0.356
Rh  0.529  0.750  0.644
Rh  0.572  0.250  0.007
Rh  0.683  0.750  0.182
Rh  0.700  0.750  0.768
Rh  0.800  0.250  0.268
Rh  0.817  0.250  0.682
Rh  0.928  0.750  0.507
Rh  0.971  0.250  0.144

## Properties
- crystal system = orthorhombic
- SG = Pnma, No. 62
- spin magnetization (μB per cell) = 0.00
- D(E_F) (states/eV per atom) = 0.431

Pick model A: it beats the second-best structure by 12 meV per atom.